(1)
The following is a DFT calculation (GGA-PBE) of LiNb2B6 after structural relaxation.

abc: 3.3312 5.3121 5.3121
angles: 120.00 90.00 90.00
Last column: nearest neighbours and their distance in Å.
Atoms (fractional coordinates):
B1 0.5000 0.3301 0.3301  3 B 1.75-1.81
B2 0.5000 0.3301 0.0000  3 B 1.75-1.81
B3 0.5000 0.6699 0.6699  3 B 1.75-1.81
B4 0.5000 0.0000 0.6699  3 B 1.75-1.81
B5 0.5000 0.6699 0.0000  3 B 1.75-1.81
B6 0.5000 0.0000 0.3301  3 B 1.75-1.81
Nb1 0.0000 0.3333 0.6667  12 B 2.44
Nb2 0.0000 0.6667 0.3333  12 B 2.44
Li1 0.0000 0.0000 0.0000  12 B 2.42

Properties
Crystal system: hexagonal
Energy relative to the elements in eV per atom: -0.594
Final energy in eV/atom: -7.496

---

(2)
The following is a DFT calculation (GGA-PBE) of Li3NbB after structural relaxation.

abc: 4.0160 4.0160 4.0160
angles: 90.00 90.00 90.00
Last column: nearest neighbours and their distance in Å.
Atoms (fractional coordinates):
Li1 0.0000 0.0000 0.5000  2 B 2.01
Li2 0.5000 0.0000 0.0000  2 B 2.01
Li3 0.0000 0.5000 0.0000  2 B 2.01
Nb1 0.5000 0.5000 0.5000  12 Li 2.84
B1 0.0000 0.0000 0.0000  6 Li 2.01

Properties
Crystal system: cubic
Energy relative to the elements in eV per atom: 0.869
Final energy in eV/atom: -3.629

---

Number 1: magnetization 0.00 μB per atom. Number 2: magnetization 0.19 μB per atom.